Entry 1:
Material: PmHoAg2Te4
Method: DFT, GGA-PBE
State: optimized geometry

## Properties
Total DFT energy (no corrections) in eV per atom: -4.160
Formation energy without anion corrections in kcal/mol of atoms: -16.4

Lattice parameters (Å, degrees): 7.518 7.098 7.098 77.99 58.02 58.02
Fractional coordinates of all 8 atoms:
Pm 0.000 0.000 0.000
Ho 0.500 0.500 0.500
Ag 0.188 0.312 0.312
Ag 0.812 0.688 0.688
Te 0.520 0.084 0.445
Te 0.049 0.916 0.555
Te 0.951 0.445 0.084
Te 0.480 0.555 0.916

---

Entry 2:
Material: ThMgSi2Ir2
Method: DFT, GGA-PBE
State: optimized geometry

## Properties
Total DFT energy (no corrections) in eV per atom: -7.061
Formation energy without anion corrections in kcal/mol of atoms: -18.4

Lattice parameters (Å, degrees): 4.262 4.262 6.840 90.00 90.00 120.00
Fractional coordinates of all 6 atoms:
Th 0.000 0.000 0.000
Mg 0.000 0.000 0.500
Si 0.667 0.333 0.690
Si 0.333 0.667 0.310
Ir 0.667 0.333 0.292
Ir 0.333 0.667 0.708